First-principles (PBE) data for crystalline PtSe4Br at its relaxed geometry, as listed in Alexandria via LeMat-Bulk.

Values from the calculation:
energy above the most stable polymorph in this dataset	0	meV/atom
uncorrected formation energy	-0.002	eV/atom
crystal system	monoclinic
space group	No. 12

Cell: 9.3596 6.4480 6.6338 Å, 119.08 83.95 90.00°
Sites, in units of the cell vectors:
Pt  0.8228  0.5933  0.1867
Pt  0.1772  0.4067  0.8133
Se  0.5695  0.2861  0.5722
Se  0.0000  0.7432  0.0000
Se  0.0000  0.2568  0.0000
Se  0.6233  0.3585  0.2196
Se  0.6233  0.8611  0.2196
Se  0.3767  0.6415  0.7804
Se  0.4305  0.7139  0.4278
Se  0.3767  0.1389  0.7804
Br  0.1276  0.1842  0.3683
Br  0.8724  0.8158  0.6317

---

First-principles (PBE) data for crystalline NpAlCd at its relaxed geometry, as listed in Alexandria via LeMat-Bulk.

Values from the calculation:
energy above the most stable polymorph in this dataset	0	meV/atom
crystal system	trigonal
formation enthalpy at 0 K	0.114	eV per atom
space group	No. 156

Cell: 2.9148 2.9148 8.1664 Å, 90.00 90.00 120.00°
Each line ends with the local moment (μB).
Sites, in units of the cell vectors:
Np  0.0000  0.0000  0.9877  3.15
Cd  0.6667  0.3333  0.3476  0.01
Al  0.3333  0.6667  0.6647  -0.01

---

First-principles (PBE) data for crystalline Li7Cd5 at its relaxed geometry, as listed in Alexandria via LeMat-Bulk.

Values from the calculation:
crystal system	monoclinic
formation enthalpy at 0 K	-0.212	eV per atom
space group	No. 12

Cell: 4.7021 5.5271 9.9942 Å, 107.28 90.00 115.17°
Sites, in units of the cell vectors:
Cd  0.0000  0.0000  0.0000
Cd  0.2565  0.5131  0.2470
Cd  0.8358  0.6716  0.4899
Cd  0.7435  0.4869  0.7530
Cd  0.1642  0.3284  0.5101
Li  0.9267  0.8535  0.2538
Li  0.3251  0.6501  0.9912
Li  0.5762  0.1523  0.2433
Li  0.6749  0.3499  0.0088
Li  0.5000  0.0000  0.5000
Li  0.4238  0.8477  0.7567
Li  0.0733  0.1465  0.7462

---

First-principles (PBE) data for crystalline Li2NiPd2 at its relaxed geometry, as listed in Alexandria via LeMat-Bulk.

Values from the calculation:
energy above the most stable polymorph in this dataset	234	meV/atom
crystal system	tetragonal
formation enthalpy at 0 K	0.110	eV per atom
space group	No. 139

Cell: 4.4907 4.4907 4.5960 Å, 60.76 60.76 90.00°
Sites, in units of the cell vectors:
Li  0.6466  0.6466  0.7068
Li  0.3534  0.3534  0.2932
Ni  0.0000  0.0000  0.0000
Pd  0.7500  0.2500  0.5000
Pd  0.2500  0.7500  0.5000

---

First-principles (PBE) data for crystalline Er6Si2SbTe3 at its relaxed geometry, as listed in Alexandria via LeMat-Bulk.

Values from the calculation:
uncorrected formation energy	-1.136	eV/atom
crystal system	monoclinic
space group	No. 12

Cell: 4.2369 8.6046 9.5638 Å, 103.54 102.80 90.00°
Sites, in units of the cell vectors:
Si  0.1681  0.3361  0.3361
Si  0.8319  0.6639  0.6639
Te  0.5000  0.5000  0.0000
Te  0.8372  0.1658  0.6744
Te  0.1628  0.8342  0.3256
Er  0.6747  0.5660  0.3495
Er  0.3320  0.8873  0.6639
Er  0.6680  0.1127  0.3361
Er  0.0124  0.2514  0.0248
Er  0.9876  0.7486  0.9752
Er  0.3253  0.4340  0.6505
Sb  0.5000  0.0000  0.0000

---

First-principles (PBE) data for crystalline Sr3Tl7In2 at its relaxed geometry, as listed in Alexandria via LeMat-Bulk.

Values from the calculation:
energy above the most stable polymorph in this dataset	0	meV/atom
crystal system	monoclinic
formation enthalpy at 0 K	-0.225	eV per atom
space group	No. 10

Cell: 4.8230 5.0775 16.1652 Å, 98.71 90.00 90.00°
Sites, in units of the cell vectors:
Tl  0.0000  0.4220  0.8427
Tl  0.5000  0.7279  0.4541
Tl  0.5000  0.0826  0.1595
Tl  0.0000  0.5780  0.1573
Tl  0.5000  0.9174  0.8405
Tl  0.0000  0.0000  0.0000
Tl  0.5000  0.2721  0.5459
In  0.5000  0.6404  0.2729
In  0.5000  0.3596  0.7271
Sr  0.0000  0.8188  0.6411
Sr  0.5000  0.5000  0.0000
Sr  0.0000  0.1812  0.3589

---

Asked for uncorrected energy across the records above, the calculation gives -3.6110 -5.7518 -1.7100 -3.8888 -5.4500 -2.4824 eV/atom in order.
Asked for total magnetization across the records above, the calculation gives 0.0 3.2 0.0 0.0 0.0 0.0 μB/cell in order.